[1]
A plane-wave DFT calculation with PBE-GGA was carried out for K3MgTa after structural relaxation.

Results
For the energy relative to the lowest polymorph listed for this composition, the calculation gives 0.0 meV/atom. As for the crystal system: cubic. For the total magnetization, the calculation gives 1.18 μB/atom. Its final energy is -1.899 eV/atom. As for the energy relative to the elements: 1.45 eV per atom.

Unit cell a=6.7696 b=6.7696 c=6.7696 alpha=90.00 beta=90.00 gamma=90.00
Space group Pm-3m (No. 221)
Asymmetric unit:
K 0.0000 0.0000 0.5000 x3
Mg 0.5000 0.5000 0.5000 x1
Ta 0.0000 0.0000 0.0000 x1


[2]
A plane-wave DFT calculation with PBE-GGA was carried out for K2MgTa after structural relaxation.

Results
As for the crystal system: tetragonal. For the total magnetization, the calculation gives 0.17 μB/atom. Its final energy is -2.875 eV/atom. As for the energy relative to the elements: 1.04 eV per atom.

Unit cell a=3.0494 b=3.0494 c=12.8775 alpha=90.00 beta=90.00 gamma=90.00
Space group P4/mmm (No. 123)
Asymmetric unit:
K 0.0000 0.0000 0.2400 x2
Mg 0.5000 0.5000 0.5000 x1
Ta 0.5000 0.5000 0.0000 x1


[3]
A plane-wave DFT calculation with PBE-GGA was carried out for KMgTa after structural relaxation.

Results
For the energy relative to the lowest polymorph listed for this composition, the calculation gives 144.1 meV/atom. As for the crystal system: monoclinic. For the total magnetization, the calculation gives 0.00 μB/atom. Its final energy is -4.324 eV/atom. As for the energy relative to the elements: 0.52 eV per atom.

Unit cell a=7.9978 b=4.6180 c=12.2215 alpha=90.00 beta=102.88 gamma=90.00
Space group Cm (No. 8)
Asymmetric unit:
K 0.0000 0.0000 0.0000 x2
K 0.2221 0.0000 0.6546 x2
Mg 0.2371 0.5000 0.2082 x2
Mg 0.3184 0.5000 0.4466 x2
Ta 0.1111 0.0000 0.3273 x2
Ta 0.4444 0.0000 0.3273 x2


[4]
A plane-wave DFT calculation with PBE-GGA was carried out for KMgTa2 after structural relaxation.

Results
As for the crystal system: trigonal. For the total magnetization, the calculation gives 0.09 μB/atom. Its final energy is -5.933 eV/atom. As for the energy relative to the elements: 0.67 eV per atom.

Unit cell a=2.9979 b=2.9979 c=34.7736 alpha=90.00 beta=90.00 gamma=120.00
Space group R3m (No. 160, hexagonal axes)
Asymmetric unit:
K 0.0000 0.0000 0.0000 x3
Mg 0.0000 0.0000 0.7614 x3
Ta 0.0000 0.0000 0.2405 x3
Ta 0.0000 0.0000 0.5014 x3


[5]
A plane-wave DFT calculation with PBE-GGA was carried out for K2MgTa after structural relaxation.

Results
As for the crystal system: trigonal. For the total magnetization, the calculation gives 0.06 μB/atom. Its final energy is -2.974 eV/atom. As for the energy relative to the elements: 0.94 eV per atom.

Unit cell a=3.1595 b=3.1595 c=39.4156 alpha=90.00 beta=90.00 gamma=120.00
Space group R-3m (No. 166, hexagonal axes)
Asymmetric unit:
K 0.0000 0.0000 0.2474 x6
Mg 0.0000 0.0000 0.0000 x3
Ta 0.0000 0.0000 0.5000 x3


[6]
A plane-wave DFT calculation with PBE-GGA was carried out for KMgTa after structural relaxation.

Results
For the energy relative to the lowest polymorph listed for this composition, the calculation gives 1875.3 meV/atom. As for the crystal system: cubic. For the total magnetization, the calculation gives 1.38 μB/atom. Its final energy is -2.592 eV/atom. As for the energy relative to the elements: 2.26 eV per atom.

Unit cell a=7.6775 b=7.6775 c=7.6775 alpha=90.00 beta=90.00 gamma=90.00
Space group F-43m (No. 216)
Asymmetric unit:
K 0.0000 0.0000 0.0000 x4
Mg 0.2500 0.2500 0.7500 x4
Ta 0.2500 0.2500 0.2500 x4


[7]
A plane-wave DFT calculation with PBE-GGA was carried out for KMgTa after structural relaxation.

Results
For the energy relative to the lowest polymorph listed for this composition, the calculation gives 386.3 meV/atom. As for the crystal system: orthorhombic. For the total magnetization, the calculation gives 0.00 μB/atom. Its final energy is -4.081 eV/atom. As for the energy relative to the elements: 0.77 eV per atom.

Unit cell a=9.9341 b=3.0124 c=12.3796 alpha=90.00 beta=90.00 gamma=90.00
Space group Pnma (No. 62)
Asymmetric unit:
K 0.0826 0.2500 0.1592 x4
Mg 0.2320 0.7500 0.4059 x4
Ta 0.0639 0.2500 0.5705 x4


[8]
A plane-wave DFT calculation with PBE-GGA was carried out for KMgTa after structural relaxation.

Results
For the energy relative to the lowest polymorph listed for this composition, the calculation gives 1100.4 meV/atom. As for the crystal system: tetragonal. For the total magnetization, the calculation gives 0.67 μB/atom. Its final energy is -3.367 eV/atom. As for the energy relative to the elements: 1.48 eV per atom.

Unit cell a=5.4911 b=5.4911 c=7.1363 alpha=90.00 beta=90.00 gamma=90.00
Space group P4/nmm (No. 129, origin choice 2)
Asymmetric unit:
K 0.2500 0.2500 0.0829 x2
Mg 0.2500 0.7500 0.5000 x2
Ta 0.2500 0.2500 0.5548 x2


[9]
A plane-wave DFT calculation with PBE-GGA was carried out for KMg2Ta after structural relaxation.

Results
For the energy relative to the lowest polymorph listed for this composition, the calculation gives 470.0 meV/atom. As for the crystal system: orthorhombic. For the total magnetization, the calculation gives 0.28 μB/atom. Its final energy is -3.116 eV/atom. As for the energy relative to the elements: 0.92 eV per atom.

Unit cell a=2.9335 b=6.2462 c=12.1774 alpha=90.00 beta=90.00 gamma=90.00
Space group Immm (No. 71)
Asymmetric unit:
K 0.0000 0.0000 0.0000 x2
Mg 0.0000 0.5000 0.2125 x4
Ta 0.0000 0.0000 0.5000 x2


[10]
A plane-wave DFT calculation with PBE-GGA was carried out for K2MgTa after structural relaxation.

Results
As for the crystal system: monoclinic. For the total magnetization, the calculation gives 0.00 μB/atom. Its final energy is -2.943 eV/atom. As for the energy relative to the elements: 0.97 eV per atom.

Unit cell a=10.1974 b=2.9099 c=9.7233 alpha=90.00 beta=91.56 gamma=90.00
Space group Cm (No. 8)
Asymmetric unit:
K 0.0000 0.0000 0.0000 x2
K 0.2419 0.0000 0.6152 x2
Mg 0.4887 0.0000 0.3627 x2
Ta 0.2536 0.5000 0.2561 x2


[11]
A plane-wave DFT calculation with PBE-GGA was carried out for KMg2Ta after structural relaxation.

Results
For the energy relative to the lowest polymorph listed for this composition, the calculation gives 164.9 meV/atom. As for the crystal system: tetragonal. For the total magnetization, the calculation gives 0.00 μB/atom. Its final energy is -3.421 eV/atom. As for the energy relative to the elements: 0.61 eV per atom.

Unit cell a=3.0859 b=3.0859 c=10.5152 alpha=90.00 beta=90.00 gamma=90.00
Space group P4mm (No. 99)
Asymmetric unit:
K 0.0000 0.0000 0.0000 x1
Mg 0.0000 0.0000 0.5188 x1
Mg 0.5000 0.5000 0.3027 x1
Ta 0.5000 0.5000 0.7081 x1


[12]
A plane-wave DFT calculation with PBE-GGA was carried out for KMgTa after structural relaxation.

Results
For the energy relative to the lowest polymorph listed for this composition, the calculation gives 1155.5 meV/atom. As for the crystal system: hexagonal. For the total magnetization, the calculation gives 0.60 μB/atom. Its final energy is -3.312 eV/atom. As for the energy relative to the elements: 1.54 eV per atom.

Unit cell a=5.5234 b=5.5234 c=5.9791 alpha=90.00 beta=90.00 gamma=120.00
Space group P6_3/mmc (No. 194)
Asymmetric unit:
K 0.0000 0.0000 0.0000 x2
Mg 0.3333 0.6667 0.2500 x2
Ta 0.3333 0.6667 0.7500 x2


Copy entry 3 word for word.
A plane-wave DFT calculation with PBE-GGA was carried out for KMgTa after structural relaxation.

Results
For the energy relative to the lowest polymorph listed for this composition, the calculation gives 144.1 meV/atom. As for the crystal system: monoclinic. For the total magnetization, the calculation gives 0.00 μB/atom. Its final energy is -4.324 eV/atom. As for the energy relative to the elements: 0.52 eV per atom.

Unit cell a=7.9978 b=4.6180 c=12.2215 alpha=90.00 beta=102.88 gamma=90.00
Space group Cm (No. 8)
Asymmetric unit:
K 0.0000 0.0000 0.0000 x2
K 0.2221 0.0000 0.6546 x2
Mg 0.2371 0.5000 0.2082 x2
Mg 0.3184 0.5000 0.4466 x2
Ta 0.1111 0.0000 0.3273 x2
Ta 0.4444 0.0000 0.3273 x2


Q: Look up the final energy of the seventh one.
A: -4.081 eV/atom